# 1
CrFeAs2 | Alexandria via LeMat-Bulk | meta-GGA SCAN | PBEsol geometry; Fermi-level density of states = 2.8 states/eV/cell; energy = -19.505 eV/atom; space group = Pmn2_1 (31); energy relative to the lowest polymorph listed for this composition = 0.00 eV/f.u.
1.0
3.370 0.000 0.000
0.000 5.402 0.000
0.000 0.000 5.992
Cr Fe As
2 2 4
Cartesian
0.000 1.308 0.000 Cr
1.685 4.095 2.996 Cr
0.000 4.034 5.332 Fe
1.685 1.368 2.335 Fe
0.000 0.332 3.706 As
0.000 2.960 1.659 As
1.685 2.443 4.655 As
1.685 5.070 0.710 As

=====

# 2
Mg5Zn | Alexandria via LeMat-Bulk | meta-GGA SCAN | PBEsol geometry; Fermi-level density of states = 2.1 states/eV/cell; energy = -6.417 eV/atom; space group = Cm (8)
1.0
5.641 -1.569 0.000
5.641 1.569 0.000
-2.067 0.000 7.034
Mg Zn
5 1
Cartesian
0.000 0.000 0.000 Mg
-0.905 0.000 4.281 Mg
3.726 0.000 1.892 Mg
6.814 0.000 2.553 Mg
6.238 0.000 6.469 Mg
2.313 0.000 4.717 Zn